Entry 1:
## NdDy2In (PBE-GGA)

Data for an optimized crystal structure of NdDy2In.

Unit cell a=12.1242 b=12.1242 c=12.1242 alpha=16.59 beta=16.59 gamma=16.59
With the nearest neighbours (Å) after each atom.
Sites, in units of the cell vectors:
Nd 0.0000 0.0000 0.0000  2 Dy 3.46, 6 Nd 3.50
Dy 0.0965 0.0965 0.0965  3 In 3.23, 1 Nd 3.46, 6 Dy 3.50
Dy 0.9035 0.9035 0.9035  3 In 3.23, 1 Nd 3.46, 6 Dy 3.50
In 0.5000 0.5000 0.5000  6 Dy 3.23, 6 In 3.50

Properties
Calculated volume: 31.7 Å³ per atom
Total DFT energy (no corrections): -16.51 eV for the cell shown
Symmetry: R-3m, No. 166
ΔE to the lowest computed polymorph: 0.314 eV per atom
ΔH_f (0 K): 0.05 eV per atom

=====

Entry 2:
## Y2CuPd9 (PBE-GGA)

Data for an optimized crystal structure of Y2CuPd9.

Unit cell a=4.0874 b=4.0874 c=12.0374 alpha=90.00 beta=90.00 gamma=90.00
With the nearest neighbours (Å) after each atom.
Sites, in units of the cell vectors:
Y 0.0000 0.0000 0.1754  12 Pd 2.89-2.94
Y 0.0000 0.0000 0.8246  12 Pd 2.89-2.94
Cu 0.0000 0.0000 0.5000  12 Pd 2.74-2.89
Pd 0.0000 0.5000 0.0000  8 Pd 2.89-2.92, 4 Y 2.94
Pd 0.0000 0.5000 0.3480  2 Cu 2.74, 8 Pd 2.74-2.93, 2 Y 2.91
Pd 0.0000 0.5000 0.6520  2 Cu 2.74, 8 Pd 2.74-2.93, 2 Y 2.91
Pd 0.5000 0.0000 0.0000  8 Pd 2.89-2.92, 4 Y 2.94
Pd 0.5000 0.0000 0.3480  2 Cu 2.74, 8 Pd 2.74-2.93, 2 Y 2.91
Pd 0.5000 0.0000 0.6520  2 Cu 2.74, 8 Pd 2.74-2.93, 2 Y 2.91
Pd 0.5000 0.5000 0.1731  4 Y 2.89, 8 Pd 2.92-2.93
Pd 0.5000 0.5000 0.5000  8 Pd 2.74, 4 Cu 2.89
Pd 0.5000 0.5000 0.8269  4 Y 2.89, 8 Pd 2.92-2.93

Properties
Calculated volume: 16.8 Å³ per atom
Total DFT energy (no corrections): -70.46 eV for the cell shown
Symmetry: P4/mmm, No. 123
ΔH_f (0 K): -0.56 eV per atom

=====

Entry 3:
## SrLaZnRh (PBE-GGA)

Data for an optimized crystal structure of SrLaZnRh.

Unit cell a=5.2168 b=5.2168 c=5.2168 alpha=60.00 beta=60.00 gamma=60.00
With the nearest neighbours (Å) after each atom.
Sites, in units of the cell vectors:
Sr 0.0000 0.0000 0.0000  4 Rh 3.19, 4 Zn 3.19
La 0.5000 0.5000 0.5000  4 Rh 3.19, 4 Zn 3.19
Zn 0.2500 0.2500 0.2500  4 La 3.19, 4 Sr 3.19
Rh 0.7500 0.7500 0.7500  4 La 3.19, 4 Sr 3.19

Properties
Calculated volume: 25.1 Å³ per atom
Total DFT energy (no corrections): -16.49 eV for the cell shown
Symmetry: F-43m, No. 216
ΔH_f (0 K): -0.31 eV per atom

=====

Entry 4:
## LiCr2Ni (PBE-GGA)

Data for an optimized crystal structure of LiCr2Ni.

Unit cell a=4.2275 b=4.2275 c=4.7236 alpha=92.79 beta=92.79 gamma=32.76
With the nearest neighbours (Å) after each atom.
Sites, in units of the cell vectors:
Li 0.0000 0.0000 0.0000  3 Ni 2.37-2.52, 2 Li 2.38, 5 Cr 2.40-2.64
Cr 0.5185 0.5185 0.5031  3 Cr 2.27-2.38, 2 Ni 2.54
Cr 0.7537 0.7537 0.2621  3 Cr 2.27-2.38, 1 Li 2.40
Ni 0.2535 0.2535 0.7723  3 Li 2.37-2.52, 2 Ni 2.38, 5 Cr 2.54-2.60

Properties
Calculated volume: 11.4 Å³ per atom
Total DFT energy (no corrections): -25.73 eV for the cell shown
Symmetry: Cm, No. 8
ΔE to the lowest computed polymorph: 0.135 eV per atom
ΔH_f (0 K): 0.30 eV per atom

=====

Entry 5:
## CaIn (PBE-GGA)

Data for an optimized crystal structure of CaIn.

Unit cell a=6.6888 b=6.6888 c=6.6888 alpha=112.47 beta=112.47 gamma=103.63
With the nearest neighbours (Å) after each atom.
Sites, in units of the cell vectors:
Ca 0.2146 0.2146 0.0000  8 In 3.34-3.40, 5 Ca 3.55-3.73
Ca 0.2500 0.7500 0.5000  8 In 3.36, 4 Ca 3.73
Ca 0.7500 0.2500 0.5000  8 In 3.36, 4 Ca 3.73
Ca 0.7854 0.7854 0.0000  8 In 3.34-3.40, 5 Ca 3.55-3.73
In 0.2756 0.2756 0.5512  2 In 3.34, 8 Ca 3.34-3.40
In 0.2756 0.7244 0.0000  2 In 3.34, 8 Ca 3.34-3.40
In 0.7244 0.2756 0.0000  2 In 3.34, 8 Ca 3.34-3.40
In 0.7244 0.7244 0.4488  2 In 3.34, 8 Ca 3.34-3.40

Properties
Calculated volume: 28.6 Å³ per atom
Total DFT energy (no corrections): -22.73 eV for the cell shown
Symmetry: I4/mmm, No. 139
ΔH_f (0 K): -0.47 eV per atom

=====

Entry 6:
## CaCd2Re (PBE-GGA)

Data for an optimized crystal structure of CaCd2Re.

Unit cell a=2.8791 b=4.9301 c=5.8544 alpha=90.00 beta=98.48 gamma=90.00
With the nearest neighbours (Å) after each atom.
Sites, in units of the cell vectors:
Ca 0.0000 0.0000 0.0000  2 Ca 2.88, 4 Cd 2.92-3.21, 2 Re 3.08
Cd 0.5397 0.0000 0.5202  4 Cd 2.88-2.91, 2 Re 2.92, 2 Ca 2.92-3.21
Cd 0.6244 0.5000 0.2642  4 Cd 2.88-2.91, 2 Re 3.00-3.10, 2 Ca 3.18
Re 0.3255 0.5000 0.7510  2 Re 2.88, 4 Cd 2.92-3.10, 2 Ca 3.08

Properties
Calculated volume: 20.5 Å³ per atom
Total DFT energy (no corrections): -14.31 eV for the cell shown
Symmetry: Pm, No. 6
ΔE to the lowest computed polymorph: 0.084 eV per atom
ΔH_f (0 K): 0.49 eV per atom

=====

Entry 7:
## Hf2Zr3TiN6 (PBE-GGA)

Data for an optimized crystal structure of Hf2Zr3TiN6.

Unit cell a=5.5536 b=5.5536 c=5.5742 alpha=99.47 beta=99.47 gamma=120.18
With the nearest neighbours (Å) after each atom.
Sites, in units of the cell vectors:
Hf 0.1664 0.8336 0.0000  6 N 2.23
Hf 0.8336 0.1664 0.0000  6 N 2.23
Zr 0.0000 0.0000 0.5000  6 N 2.31-2.32
Zr 0.3358 0.6642 0.5000  6 N 2.29-2.34
Zr 0.6642 0.3358 0.5000  6 N 2.29-2.34
Ti 0.5000 0.5000 0.0000  6 N 2.22
N 0.0896 0.4219 0.7636  1 Ti 2.22, 2 Hf 2.23, 3 Zr 2.30-2.34
N 0.2475 0.2475 0.2364  1 Ti 2.22, 2 Hf 2.23, 3 Zr 2.29-2.32
N 0.4219 0.0896 0.7636  1 Ti 2.22, 2 Hf 2.23, 3 Zr 2.30-2.34
N 0.5781 0.9104 0.2364  1 Ti 2.22, 2 Hf 2.23, 3 Zr 2.30-2.34
N 0.7525 0.7525 0.7636  1 Ti 2.22, 2 Hf 2.23, 3 Zr 2.29-2.32
N 0.9104 0.5781 0.2364  1 Ti 2.22, 2 Hf 2.23, 3 Zr 2.30-2.34

Properties
Calculated volume: 11.7 Å³ per atom
Total DFT energy (no corrections): -123.87 eV for the cell shown
Symmetry: C2/m, No. 12
Energy relative to the elements, uncorrected: -20.47 eV/f.u.

=====

Entry 8:
## SnRu3Br (PBE-GGA)

Data for an optimized crystal structure of SnRu3Br.

Unit cell a=5.0026 b=5.0026 c=5.0026 alpha=90.00 beta=90.00 gamma=90.00
With the nearest neighbours (Å) after each atom.
Sites, in units of the cell vectors:
Sn 0.0000 0.0000 0.0000  6 Ru 2.50
Ru 0.0000 0.0000 0.5000  2 Sn 2.50
Ru 0.0000 0.5000 0.0000  2 Sn 2.50
Ru 0.5000 0.0000 0.0000  2 Sn 2.50
Br 0.5000 0.5000 0.5000  12 Ru 3.54

Properties
Calculated volume: 25.0 Å³ per atom
Total DFT energy (no corrections): -24.38 eV for the cell shown
Symmetry: Pm-3m, No. 221
ΔE to the lowest computed polymorph: 0.477 eV per atom
Energy relative to the elements, uncorrected: 9.13 eV/f.u.

=====

Entry 9:
## Na5GaHg6 (PBE-GGA)

Data for an optimized crystal structure of Na5GaHg6.

Unit cell a=8.8520 b=8.8520 c=5.2334 alpha=104.46 beta=104.46 gamma=49.89
With the nearest neighbours (Å) after each atom.
Sites, in units of the cell vectors:
Na 0.0000 0.0000 0.0000  8 Hg 3.18-3.35, 2 Na 3.47
Na 0.1610 0.1610 0.6728  8 Hg 3.23-3.32, 2 Na 3.47-3.57
Na 0.3216 0.3216 0.2998  8 Hg 3.16-3.22
Na 0.6784 0.6784 0.7002  8 Hg 3.16-3.22
Na 0.8390 0.8390 0.3272  8 Hg 3.23-3.32, 2 Na 3.47-3.57
Ga 0.5000 0.5000 0.0000  8 Hg 3.05-3.09
Hg 0.1043 0.5749 0.8168  1 Ga 3.05, 7 Na 3.16-3.32
Hg 0.2794 0.7206 0.5000  2 Ga 3.09, 6 Na 3.22-3.35, 3 Hg 3.29-3.43
Hg 0.4251 0.8957 0.1832  1 Ga 3.05, 7 Na 3.16-3.32
Hg 0.5749 0.1043 0.8168  1 Ga 3.05, 7 Na 3.16-3.32
Hg 0.7206 0.2794 0.5000  2 Ga 3.09, 6 Na 3.22-3.35, 3 Hg 3.29-3.43
Hg 0.8957 0.4251 0.1832  1 Ga 3.05, 7 Na 3.16-3.32

Properties
Calculated volume: 25.1 Å³ per atom
Total DFT energy (no corrections): -13.94 eV for the cell shown
Symmetry: C2/m, No. 12
ΔH_f (0 K): -0.21 eV per atom

=====

Entry 10:
## Li2NbCrN4 (PBE-GGA)

Data for an optimized crystal structure of Li2NbCrN4.

Unit cell a=5.3984 b=5.3984 c=10.2395 alpha=90.00 beta=90.00 gamma=148.33
With the nearest neighbours (Å) after each atom.
Sites, in units of the cell vectors:
Li 0.1344 0.8656 0.5270  3 N 1.95-2.05
Li 0.1344 0.8656 0.9730  3 N 1.95-2.05
Li 0.8656 0.1344 0.0270  3 N 1.95-2.05
Li 0.8656 0.1344 0.4730  3 N 1.95-2.05
Nb 0.3676 0.6324 0.7500  6 N 2.17-2.24
Nb 0.6324 0.3676 0.2500  6 N 2.17-2.24
Cr 0.3669 0.6331 0.2500  4 N 1.82
Cr 0.6331 0.3669 0.7500  4 N 1.82
N 0.0300 0.9700 0.7500  2 Cr 1.82
N 0.2346 0.7654 0.1335  1 Cr 1.82, 1 Li 1.95
N 0.2346 0.7654 0.3665  1 Cr 1.82, 1 Li 1.95
N 0.5000 0.5000 0.0000  4 Li 2.05
N 0.5000 0.5000 0.5000  4 Li 2.05
N 0.7654 0.2346 0.6335  1 Cr 1.82, 1 Li 1.95
N 0.7654 0.2346 0.8665  1 Cr 1.82, 1 Li 1.95
N 0.9700 0.0300 0.2500  2 Cr 1.82

Properties
Calculated volume: 9.8 Å³ per atom
Total DFT energy (no corrections): -117.67 eV for the cell shown
Symmetry: Cmcm, No. 63
Energy relative to the elements, uncorrected: -2.01 eV/f.u.

=====

Entry 11:
## Ac5ThTl6 (PBE-GGA)

Data for an optimized crystal structure of Ac5ThTl6.

Unit cell a=10.0064 b=10.0064 c=5.8127 alpha=106.47 beta=106.47 gamma=47.88
With the nearest neighbours (Å) after each atom.
Sites, in units of the cell vectors:
Ac 0.0000 0.0000 0.0000  8 Tl 3.52-3.61
Ac 0.1641 0.1641 0.6646  8 Tl 3.57-3.60
Ac 0.3292 0.3292 0.3287  8 Tl 3.51-3.57
Ac 0.6708 0.6708 0.6713  8 Tl 3.51-3.57
Ac 0.8359 0.8359 0.3354  8 Tl 3.57-3.60
Th 0.5000 0.5000 0.0000  8 Tl 3.45-3.48
Tl 0.0948 0.5796 0.8365  1 Th 3.45, 7 Ac 3.51-3.60
Tl 0.2642 0.7358 0.5000  2 Th 3.48, 6 Ac 3.53-3.61, 1 Tl 3.83
Tl 0.4204 0.9052 0.1635  1 Th 3.45, 7 Ac 3.51-3.60
Tl 0.5796 0.0948 0.8365  1 Th 3.45, 7 Ac 3.51-3.60
Tl 0.7358 0.2642 0.5000  2 Th 3.48, 6 Ac 3.53-3.61, 1 Tl 3.83
Tl 0.9052 0.4204 0.1635  1 Th 3.45, 7 Ac 3.51-3.60

Properties
Calculated volume: 34.2 Å³ per atom
Total DFT energy (no corrections): -45.65 eV for the cell shown
Symmetry: C2/m, No. 12
ΔH_f (0 K): -0.29 eV per atom

=====

- What is the calculated volume in the tenth record?
  9.8 Å³ per atom

=====

- What is the formula in the fourth record?
  LiCr2Ni

=====

- total DFT energy (no corrections) of number 7 (Hf2Zr3TiN6)?
  -123.87 eV for the cell shown